This record from Alexandria describes a relaxed RbTiNiO3 crystal. The functional is PBE with a Hubbard U.

a b c (Å): 7.1133 7.1133 5.5301
angles (deg): 90.00 90.00 133.71
Atoms (fractional coordinates):
Rb (0.2484, 0.7516, 0.7500)
Rb (0.7516, 0.2484, 0.2500)
Ti (0.0484, 0.9516, 0.2500)
Ti (0.9516, 0.0484, 0.7500)
Ni (0.4898, 0.5102, 0.2500)
Ni (0.5102, 0.4898, 0.7500)
O (0.1812, 0.8188, 0.2500)
O (0.2277, 0.2277, 0.0000)
O (0.2277, 0.2277, 0.5000)
O (0.7723, 0.7723, 0.0000)
O (0.7723, 0.7723, 0.5000)
O (0.8188, 0.1812, 0.7500)

Output
Its space group is No. 63. The mass density is 3.94 g/cm³. As for the density of states at the Fermi level: 0.00 states/eV/atom. The value obtained for the electronic total energy is -6.40 eV per atom.